A plane-wave DFT calculation with meta-GGA SCAN was carried out for a PBEsol-optimized structure of Li2ZnAu.

Total magnetization ... 0.0 μB/cell
Calculated formation energy ... -535 meV per atom

extended XYZ file:
```
4
Lattice="0.000 3.063 3.063 3.063 0.000 3.063 3.063 3.063 0.000" Properties=species:S:1:pos:R:3 pbc="T T T"
Li 0.000 0.000 0.000
Li 1.532 1.532 1.532
Zn 3.063 3.063 3.063
Au 4.595 4.595 4.595
```

---

A plane-wave DFT calculation with meta-GGA SCAN was carried out for a PBEsol-optimized structure of Si2BI.

Total magnetization ... 0.0 μB/cell
Uncorrected formation energy ... 0.636 eV/atom

extended XYZ file:
```
8
Lattice="-2.999 2.999 4.189 2.999 -2.999 4.189 2.999 2.999 -4.189" Properties=species:S:1:pos:R:3 pbc="T T T"
Si 4.498 0.789 -1.047
Si 0.789 1.499 1.047
Si -1.499 2.210 3.142
Si 2.210 1.499 5.236
B 0.000 0.000 0.000
B 0.000 2.999 2.094
I 2.999 0.000 2.094
I 0.000 0.000 4.189
```

---

A plane-wave DFT calculation with meta-GGA SCAN was carried out for a PBEsol-optimized structure of MgCuSiOs2.

Total magnetization ... 0.0 μB/cell
Uncorrected formation energy ... 1.098 eV/atom

extended XYZ file:
```
5
Lattice="4.352 0.000 0.000 0.000 4.352 0.000 0.000 0.000 4.589" Properties=species:S:1:pos:R:3 pbc="T T T"
Mg 0.000 0.000 0.000
Cu 2.176 2.176 0.000
Si 0.000 0.000 2.295
Os 0.000 2.176 2.295
Os 2.176 0.000 2.295
```

---

A plane-wave DFT calculation with meta-GGA SCAN was carried out for a PBEsol-optimized structure of CdTc2Pt.

Total magnetization ... 0.0 μB/cell
Calculated formation energy ... 196 meV per atom

extended XYZ file:
```
4
Lattice="1.376 0.795 9.284 -1.376 0.795 9.284 0.000 -1.589 9.284" Properties=species:S:1:pos:R:3 pbc="T T T"
Cd 0.000 0.000 0.000
Tc 0.000 0.000 6.840
Tc 0.000 0.000 21.013
Pt 0.000 0.000 13.926
```

---

A plane-wave DFT calculation with meta-GGA SCAN was carried out for a PBEsol-optimized structure of TlFeSi2.

ΔE to the lowest computed polymorph ... 227 meV per atom
Total magnetization ... 2.4 μB/cell
Uncorrected formation energy ... 0.734 eV/atom

extended XYZ file:
```
4
Lattice="-1.512 2.539 4.285 1.512 -2.539 4.285 1.512 2.539 -4.285" Properties=species:S:1:pos:R:3 pbc="T T T"
Tl 0.000 0.000 0.000
Fe 0.000 2.539 1.947
Si 1.512 0.000 2.481
Si 0.000 0.000 4.517
```

---

A plane-wave DFT calculation with meta-GGA SCAN was carried out for a PBEsol-optimized structure of Hf3BrF.

Total magnetization ... 0.0 μB/cell
Uncorrected formation energy ... 0.888 eV/atom

extended XYZ file:
```
5
Lattice="4.880 0.000 0.000 0.000 4.880 0.000 0.000 0.000 4.880" Properties=species:S:1:pos:R:3 pbc="T T T"
Hf 0.000 0.000 2.440
Hf 0.000 2.440 0.000
Hf 2.440 0.000 0.000
Br 0.000 0.000 0.000
F 2.440 2.440 2.440
```

---

A plane-wave DFT calculation with meta-GGA SCAN was carried out for a PBEsol-optimized structure of MgCd2Ni2.

Total magnetization ... 0.0 μB/cell
Calculated formation energy ... 220 meV per atom

extended XYZ file:
```
5
Lattice="-1.981 1.981 5.550 1.981 -1.981 5.550 1.981 1.981 -5.550" Properties=species:S:1:pos:R:3 pbc="T T T"
Mg 0.000 0.000 0.000
Cd 1.981 0.000 2.775
Cd 0.000 1.981 2.775
Ni 0.000 0.000 4.455
Ni 0.000 0.000 6.644
```

---

A plane-wave DFT calculation with meta-GGA SCAN was carried out for a PBEsol-optimized structure of KZnRu2.

Total magnetization ... 0.0 μB/cell
Calculated formation energy ... 718 meV per atom

extended XYZ file:
```
4
Lattice="1.419 -2.271 0.000 1.419 2.271 0.000 0.000 0.000 9.873" Properties=species:S:1:pos:R:3 pbc="T T T"
K 0.000 0.000 0.000
Zn 0.000 0.000 4.937
Ru 1.419 0.000 2.814
Ru 1.419 0.000 7.060
```